Record 1
Computed, not measured: a relaxed structure of TlSiBr at the PBE-GGA level of DFT.

## Properties
* formation energy (no corrections): 433 meV per atom
* calculated volume: 87.5 Å³/f.u.
* raw total energy: -8.16 eV/f.u.
* E above lowest polymorph: 630.7 meV per atom

```
data_TlSiBr
_cell_length_a 7.046
_cell_length_b 7.046
_cell_length_c 7.046
_cell_angle_alpha 90.00
_cell_angle_beta 90.00
_cell_angle_gamma 90.00
_symmetry_space_group_name_H-M 'F -4 3 m'
_symmetry_Int_Tables_number 216
_symmetry_space_group_name_Hall 'F -4 2 3'
loop_
_atom_site_label
_atom_site_type_symbol
_atom_site_fract_x
_atom_site_fract_y
_atom_site_fract_z
_atom_site_occupancy
Tl1 Tl 0.000 0.000 0.000 1
Si1 Si 0.250 0.250 0.750 1
Br1 Br 0.000 0.000 0.500 1
```

***

Record 2
Computed, not measured: a relaxed structure of TlSi2Br at the PBE-GGA level of DFT.

## Properties
* formation energy (no corrections): 612 meV per atom
* calculated volume: 111.0 Å³/f.u.
* raw total energy: -12.44 eV/f.u.
* E above lowest polymorph: 626.1 meV per atom

```
data_TlSi2Br
_cell_length_a 4.033
_cell_length_b 4.033
_cell_length_c 6.820
_cell_angle_alpha 90.00
_cell_angle_beta 90.00
_cell_angle_gamma 90.00
_symmetry_space_group_name_H-M 'P 4/m m m'
_symmetry_Int_Tables_number 123
_symmetry_space_group_name_Hall '-P 4 2'
loop_
_atom_site_label
_atom_site_type_symbol
_atom_site_fract_x
_atom_site_fract_y
_atom_site_fract_z
_atom_site_occupancy
Tl1 Tl 0.000 0.000 0.000 1
Si1 Si 0.000 0.500 0.500 1
Br1 Br 0.500 0.500 0.000 1
```

***

Record 3
Computed, not measured: a relaxed structure of TlSi2Br at the PBE-GGA level of DFT.

## Properties
* formation energy (no corrections): 684 meV per atom
* calculated volume: 90.9 Å³/f.u.
* raw total energy: -12.15 eV/f.u.
* E above lowest polymorph: 697.3 meV per atom

```
data_TlSi2Br
_cell_length_a 3.368
_cell_length_b 3.368
_cell_length_c 8.009
_cell_angle_alpha 90.00
_cell_angle_beta 90.00
_cell_angle_gamma 90.00
_symmetry_space_group_name_H-M 'P 4/m m m'
_symmetry_Int_Tables_number 123
_symmetry_space_group_name_Hall '-P 4 2'
loop_
_atom_site_label
_atom_site_type_symbol
_atom_site_fract_x
_atom_site_fract_y
_atom_site_fract_z
_atom_site_occupancy
Tl1 Tl 0.000 0.000 0.000 1
Si1 Si 0.500 0.500 0.248 1
Br1 Br 0.000 0.000 0.500 1
```

***

Record 4
Computed, not measured: a relaxed structure of TlSiBr at the PBE-GGA level of DFT.

## Properties
* formation energy (no corrections): -24 meV per atom
* calculated volume: 89.3 Å³/f.u.
* raw total energy: -9.53 eV/f.u.
* E above lowest polymorph: 174.2 meV per atom

```
data_TlSiBr
_cell_length_a 5.654
_cell_length_b 6.010
_cell_length_c 6.561
_cell_angle_alpha 64.55
_cell_angle_beta 65.30
_cell_angle_gamma 89.86
_symmetry_space_group_name_H-M 'P -1'
_symmetry_Int_Tables_number 2
loop_
_symmetry_equiv_pos_as_xyz
'x,y,z'
'-x,-y,-z'
loop_
_atom_site_label
_atom_site_type_symbol
_atom_site_fract_x
_atom_site_fract_y
_atom_site_fract_z
_atom_site_occupancy
Tl1 Tl 0.117 0.348 0.272 1
Si1 Si 0.387 0.419 0.720 1
Br1 Br 0.342 0.992 0.810 1
```

***

Record 5
Computed, not measured: a relaxed structure of TlSiBr at the PBE-GGA level of DFT.

## Properties
* formation energy (no corrections): -138 meV per atom
* calculated volume: 96.4 Å³/f.u.
* raw total energy: -9.88 eV/f.u.
* E above lowest polymorph: 59.9 meV per atom

```
data_TlSiBr
_cell_length_a 6.330
_cell_length_b 3.896
_cell_length_c 7.977
_cell_angle_alpha 90.00
_cell_angle_beta 101.36
_cell_angle_gamma 90.00
_symmetry_space_group_name_H-M 'P 1 21/m 1'
_symmetry_Int_Tables_number 11
loop_
_symmetry_equiv_pos_as_xyz
'x,y,z'
'-x,-y,-z'
'-x,y+1/2,-z'
'x,-y+1/2,z'
loop_
_atom_site_label
_atom_site_type_symbol
_atom_site_fract_x
_atom_site_fract_y
_atom_site_fract_z
_atom_site_occupancy
Tl1 Tl 0.167 0.250 0.170 1
Si1 Si 0.448 0.750 0.413 1
Br1 Br 0.265 0.250 0.743 1
```

***

Record 6
Computed, not measured: a relaxed structure of TlSi2Br at the PBE-GGA level of DFT.

## Properties
* formation energy (no corrections): 205 meV per atom
* calculated volume: 117.8 Å³/f.u.
* raw total energy: -14.07 eV/f.u.
* E above lowest polymorph: 218.4 meV per atom

```
data_TlSi2Br
_cell_length_a 11.669
_cell_length_b 3.785
_cell_length_c 6.153
_cell_angle_alpha 90.00
_cell_angle_beta 119.95
_cell_angle_gamma 90.00
_symmetry_space_group_name_H-M 'C 1 m 1'
_symmetry_Int_Tables_number 8
loop_
_symmetry_equiv_pos_as_xyz
'x,y,z'
'x,-y,z'
'x+1/2,y+1/2,z'
'x+1/2,-y+1/2,z'
loop_
_atom_site_label
_atom_site_type_symbol
_atom_site_fract_x
_atom_site_fract_y
_atom_site_fract_z
_atom_site_occupancy
Tl1 Tl 0.000 0.000 0.000 1
Si1 Si 0.161 0.000 0.692 1
Si2 Si 0.188 0.500 0.510 1
Br1 Br 0.321 0.500 0.323 1
```

***

Record 7
Computed, not measured: a relaxed structure of TlSi2Br at the PBE-GGA level of DFT.

## Properties
* formation energy (no corrections): 151 meV per atom
* calculated volume: 99.6 Å³/f.u.
* raw total energy: -14.28 eV/f.u.
* E above lowest polymorph: 165.3 meV per atom

```
data_TlSi2Br
_cell_length_a 5.374
_cell_length_b 3.891
_cell_length_c 5.379
_cell_angle_alpha 90.00
_cell_angle_beta 117.67
_cell_angle_gamma 90.00
_symmetry_space_group_name_H-M 'P 1 m 1'
_symmetry_Int_Tables_number 6
loop_
_symmetry_equiv_pos_as_xyz
'x,y,z'
'x,-y,z'
loop_
_atom_site_label
_atom_site_type_symbol
_atom_site_fract_x
_atom_site_fract_y
_atom_site_fract_z
_atom_site_occupancy
Tl1 Tl 0.000 0.000 0.000 1
Si1 Si 0.602 0.000 0.221 1
Si2 Si 0.698 0.500 0.511 1
Br1 Br 0.298 0.500 0.598 1
```

***

Record 8
Computed, not measured: a relaxed structure of TlSiBr2 at the PBE-GGA level of DFT.

## Properties
* formation energy (no corrections): 68 meV per atom
* calculated volume: 109.5 Å³/f.u.
* raw total energy: -10.86 eV/f.u.
* E above lowest polymorph: 249.7 meV per atom

```
data_TlSiBr2
_cell_length_a 5.441
_cell_length_b 5.441
_cell_length_c 3.700
_cell_angle_alpha 90.00
_cell_angle_beta 90.00
_cell_angle_gamma 90.00
_symmetry_space_group_name_H-M 'P 4/m m m'
_symmetry_Int_Tables_number 123
_symmetry_space_group_name_Hall '-P 4 2'
loop_
_atom_site_label
_atom_site_type_symbol
_atom_site_fract_x
_atom_site_fract_y
_atom_site_fract_z
_atom_site_occupancy
Tl1 Tl 0.000 0.000 0.000 1
Si1 Si 0.500 0.500 0.000 1
Br1 Br 0.000 0.500 0.500 1
```

***

Record 9
Computed, not measured: a relaxed structure of TlSiBr2 at the PBE-GGA level of DFT.

## Properties
* formation energy (no corrections): -22 meV per atom
* calculated volume: 129.3 Å³/f.u.
* raw total energy: -11.22 eV/f.u.
* E above lowest polymorph: 160.3 meV per atom

```
data_TlSiBr2
_cell_length_a 3.974
_cell_length_b 6.887
_cell_length_c 9.451
_cell_angle_alpha 90.00
_cell_angle_beta 90.00
_cell_angle_gamma 90.00
_symmetry_space_group_name_H-M 'C m m 2'
_symmetry_Int_Tables_number 35
loop_
_symmetry_equiv_pos_as_xyz
'x,y,z'
'-x,-y,z'
'-x,y,z'
'x,-y,z'
'x+1/2,y+1/2,z'
'-x+1/2,-y+1/2,z'
'-x+1/2,y+1/2,z'
'x+1/2,-y+1/2,z'
loop_
_atom_site_label
_atom_site_type_symbol
_atom_site_fract_x
_atom_site_fract_y
_atom_site_fract_z
_atom_site_occupancy
Tl1 Tl 0.000 0.000 0.000 1
Si1 Si 0.000 0.500 0.235 1
Br1 Br 0.000 0.000 0.409 1
Br2 Br 0.000 0.500 0.783 1
```

***

Record 10
Computed, not measured: a relaxed structure of TlSiBr at the PBE-GGA level of DFT.

## Properties
* formation energy (no corrections): -132 meV per atom
* calculated volume: 95.4 Å³/f.u.
* raw total energy: -9.86 eV/f.u.
* E above lowest polymorph: 65.8 meV per atom

```
data_TlSiBr
_cell_length_a 6.044
_cell_length_b 3.891
_cell_length_c 8.638
_cell_angle_alpha 90.00
_cell_angle_beta 110.13
_cell_angle_gamma 90.00
_symmetry_space_group_name_H-M 'P 1 21/m 1'
_symmetry_Int_Tables_number 11
loop_
_symmetry_equiv_pos_as_xyz
'x,y,z'
'-x,-y,-z'
'-x,y+1/2,-z'
'x,-y+1/2,z'
loop_
_atom_site_label
_atom_site_type_symbol
_atom_site_fract_x
_atom_site_fract_y
_atom_site_fract_z
_atom_site_occupancy
Tl1 Tl 0.054 0.250 0.192 1
Si1 Si 0.404 0.750 0.423 1
Br1 Br 0.408 0.250 0.780 1
```

***

Record 11
Computed, not measured: a relaxed structure of TlSiBr2 at the PBE-GGA level of DFT.

## Properties
* formation energy (no corrections): -79 meV per atom
* calculated volume: 123.4 Å³/f.u.
* raw total energy: -11.45 eV/f.u.
* E above lowest polymorph: 103.3 meV per atom

```
data_TlSiBr2
_cell_length_a 3.8831
_cell_length_b 3.8831
_cell_length_c 28.3453
_cell_angle_alpha 90.00
_cell_angle_beta 90.00
_cell_angle_gamma 120.00
_symmetry_space_group_name_H-M 'R -3 m'
_symmetry_Int_Tables_number 166
_symmetry_space_group_name_Hall '-R 3 2"'
loop_
_atom_site_label
_atom_site_type_symbol
_atom_site_fract_x
_atom_site_fract_y
_atom_site_fract_z
_atom_site_occupancy
Tl1 Tl 0.0000 0.0000 0.0000 1
Si1 Si 0.0000 0.0000 0.5000 1
Br1 Br 0.0000 0.0000 0.2254 1
```

***

Record 12
Computed, not measured: a relaxed structure of TlSi2Br at the PBE-GGA level of DFT.

## Properties
* formation energy (no corrections): 551 meV per atom
* calculated volume: 98.7 Å³/f.u.
* raw total energy: -12.68 eV/f.u.
* E above lowest polymorph: 564.4 meV per atom

```
data_TlSi2Br
_cell_length_a 5.837
_cell_length_b 6.130
_cell_length_c 11.033
_cell_angle_alpha 90.00
_cell_angle_beta 90.00
_cell_angle_gamma 90.00
_symmetry_space_group_name_H-M 'F m m m'
_symmetry_Int_Tables_number 69
_symmetry_space_group_name_Hall '-F 2 2'
loop_
_atom_site_label
_atom_site_type_symbol
_atom_site_fract_x
_atom_site_fract_y
_atom_site_fract_z
_atom_site_occupancy
Tl1 Tl 0.000 0.000 0.000 1
Si1 Si 0.000 0.250 0.250 1
Br1 Br 0.000 0.000 0.500 1
```